No. 1
Entry from the Alexandria database: a relaxed structure of HoPaTcRu (PBE).

Summary:
total energy: -8.8147 eV/atom
relative energy among the computed polymorphs: 0.0 meV/atom

Cell: 3.427 3.427 6.883 Å, 90.00 90.00 90.00°
Space group P4mm (No. 99)
Symmetry-distinct sites (fractional):
Ho1 0.000 0.000 0.000 (multiplicity 1)
Pa1 0.000 0.000 0.500 (multiplicity 1)
Tc1 0.500 0.500 0.282 (multiplicity 1)
Ru1 0.500 0.500 0.721 (multiplicity 1)



No. 2
Entry from the Alexandria database: a relaxed structure of K2RbCuSn (PBE).

Summary:
total energy: -2.2147 eV/atom

Cell: 6.484 6.484 5.013 Å, 90.00 90.00 90.00°
Space group P4/mmm (No. 123)
Symmetry-distinct sites (fractional):
K1 0.000 0.500 0.000 (multiplicity 2)
Rb1 0.000 0.000 0.500 (multiplicity 1)
Cu1 0.500 0.500 0.000 (multiplicity 1)
Sn1 0.500 0.500 0.500 (multiplicity 1)



No. 3
Entry from the Alexandria database: a relaxed structure of YSc2Au (PBE).

Summary:
total energy: -5.6302 eV/atom
relative energy among the computed polymorphs: 392.5 meV/atom

Cell: 3.4089 3.4089 31.3575 Å, 90.00 90.00 120.00°
Space group R-3m (No. 166, hexagonal axes)
Symmetry-distinct sites (fractional):
Y1 0.0000 0.0000 0.0000 (multiplicity 3)
Sc1 0.0000 0.0000 0.1027 (multiplicity 6)
Au1 0.0000 0.0000 0.5000 (multiplicity 3)



No. 4
Entry from the Alexandria database: a relaxed structure of ThAl12Zn4 (PBE).

Summary:
total energy: -3.2162 eV/atom

Cell: 8.777 8.777 8.777 Å, 90.00 90.00 90.00°
Space group Im-3 (No. 204)
Symmetry-distinct sites (fractional):
Th1 0.000 0.000 0.000 (multiplicity 2)
Al1 0.000 0.350 0.156 (multiplicity 24)
Zn1 0.250 0.250 0.250 (multiplicity 8)



No. 5
Entry from the Alexandria database: a relaxed structure of ZrTa2Ag (PBE).

Summary:
total energy: -8.5586 eV/atom
relative energy among the computed polymorphs: 119.5 meV/atom

Cell: 10.402 3.018 5.076 Å, 90.00 104.78 90.00°
Space group C2/m (No. 12)
Symmetry-distinct sites (fractional):
Zr1 0.000 0.000 0.000 (multiplicity 2)
Ta1 0.242 0.000 0.738 (multiplicity 4)
Ag1 0.000 0.500 0.500 (multiplicity 2)



No. 6
Entry from the Alexandria database: a relaxed structure of Th5BeS4 (PBE).

Summary:
total energy: -7.1702 eV/atom
uncorrected formation energy: -1.44 eV/atom

Cell: 9.139 9.139 5.710 Å, 90.00 90.00 90.00°
Space group I4/m (No. 87)
Symmetry-distinct sites (fractional):
Th1 0.000 0.000 0.000 (multiplicity 2)
Th2 0.100 0.297 0.500 (multiplicity 8)
Be1 0.000 0.000 0.500 (multiplicity 2)
S1 0.101 0.300 0.000 (multiplicity 8)



No. 7
Entry from the Alexandria database: a relaxed structure of La2Pr2NdDy (PBE).

Summary:
total energy: -4.7405 eV/atom

Cell: 7.180 5.852 10.131 Å, 90.00 90.00 90.00°
Space group Pmma (No. 51)
Symmetry-distinct sites (fractional):
La1 0.250 0.000 0.163 (multiplicity 2)
La2 0.250 0.500 0.670 (multiplicity 2)
Pr1 0.000 0.500 0.000 (multiplicity 2)
Pr2 0.250 0.000 0.828 (multiplicity 2)
Nd1 0.000 0.000 0.500 (multiplicity 2)
Dy1 0.250 0.500 0.336 (multiplicity 2)



No. 8
Entry from the Alexandria database: a relaxed structure of SrPaSe4 (PBE).

Summary:
total energy: -5.4686 eV/atom
uncorrected formation energy: -1.28 eV/atom
relative energy among the computed polymorphs: 0.0 meV/atom

Cell: 6.410 6.844 7.843 Å, 90.00 90.00 90.00°
Space group Pbam (No. 55)
Symmetry-distinct sites (fractional):
Sr1 0.000 0.000 0.000 (multiplicity 2)
Pa1 0.000 0.000 0.500 (multiplicity 2)
Se1 0.249 0.251 0.281 (multiplicity 8)



No. 9
Entry from the Alexandria database: a relaxed structure of Tb2Pm3Mg3 (PBE).

Summary:
total energy: -3.6067 eV/atom

Cell: 3.817 5.524 22.591 Å, 90.00 90.00 90.00°
Space group Immm (No. 71)
Symmetry-distinct sites (fractional):
Tb1 0.000 0.000 0.236 (multiplicity 4)
Pm1 0.000 0.000 0.000 (multiplicity 2)
Pm2 0.000 0.500 0.125 (multiplicity 4)
Mg1 0.000 0.000 0.500 (multiplicity 2)
Mg2 0.000 0.500 0.382 (multiplicity 4)



No. 10
Entry from the Alexandria database: a relaxed structure of Cs2AcUO6 (PBE).

Summary:
total energy: -7.3012 eV/atom
uncorrected formation energy: -2.62 eV/atom

Cell: 9.180 9.180 9.180 Å, 90.00 90.00 90.00°
Space group Fm-3m (No. 225)
Symmetry-distinct sites (fractional):
Cs1 0.250 0.250 0.250 (multiplicity 8)
Ac1 0.000 0.000 0.000 (multiplicity 4)
U1 0.000 0.000 0.500 (multiplicity 4)
O1 0.000 0.000 0.273 (multiplicity 24)



No. 11
Entry from the Alexandria database: a relaxed structure of GeSbPt3 (PBE).

Summary:
total energy: -5.0957 eV/atom
uncorrected formation energy: 0.28 eV/atom
relative energy among the computed polymorphs: 0.0 meV/atom

Cell: 4.700 4.700 4.700 Å, 90.00 90.00 90.00°
Space group Pm-3m (No. 221)
Symmetry-distinct sites (fractional):
Ge1 0.000 0.000 0.000 (multiplicity 1)
Sb1 0.500 0.500 0.500 (multiplicity 1)
Pt1 0.000 0.000 0.500 (multiplicity 3)



No. 12
Entry from the Alexandria database: a relaxed structure of CaRePt4 (PBE).

Summary:
total energy: -6.4322 eV/atom

Cell: 7.534 7.534 7.534 Å, 90.00 90.00 90.00°
Space group F-43m (No. 216)
Symmetry-distinct sites (fractional):
Ca1 0.000 0.000 0.000 (multiplicity 4)
Re1 0.250 0.250 0.250 (multiplicity 4)
Pt1 0.125 0.125 0.625 (multiplicity 16)



Number 1: density 12.2 Mg/m³. Number 2: density 2.7 Mg/m³. Number 3: density 5.9 Mg/m³. Number 4: density 4.0 Mg/m³. Number 5: density 12.1 Mg/m³. Number 6: density 9.0 Mg/m³. Number 7: density 6.8 Mg/m³. Number 8: density 6.1 Mg/m³. Number 9: density 5.8 Mg/m³. Number 10: density 7.1 Mg/m³. Number 11: density 12.5 Mg/m³. Number 12: density 15.6 Mg/m³.